VASP calculation (GGA-PBE) on crystalline Zr2Be3Si at its relaxed geometry.

Properties
* symmetry: Fmmm (69)
* total magnetic moment: 0.0 μB per formula unit
* E_tot: -6.10 eV per atom
* ΔE_f (raw): -11.232 kcal/mol of atoms

```
Zr2Be3Si
1.0
0.000 3.783 6.553
3.412 0.000 6.553
3.412 3.783 0.000
Zr Be Si
4 6 2
Direct
0.248 0.752 0.752
0.250 0.250 0.250
0.750 0.750 0.750
0.752 0.248 0.248
0.163 0.673 0.327
0.164 0.164 0.836
0.327 0.837 0.163
0.673 0.163 0.837
0.836 0.836 0.164
0.837 0.327 0.673
0.333 0.333 0.667
0.667 0.667 0.333
```